Compound: Pr4Dy3Er4
Source: Alexandria via LeMat-Bulk
Functional: PBE-GGA
Structure: optimized geometry

a = 3.600 Å, b = 5.062 Å, c = 20.010 Å
α = 82.74°, β = 84.85°, γ = 89.97°
Space group P-1 (No. 2)
Asymmetric unit:
Pr1 0.046 0.046 0.408 x2
Pr2 0.317 0.318 0.865 x2
Dy1 0.136 0.136 0.228 x2
Dy2 0.500 0.500 0.500 x1
Er1 0.228 0.228 0.044 x2
Er2 0.408 0.409 0.684 x2

Calculated values
As for the polymorph energy (0 for the lowest one): 0 meV/atom. For the total magnetization, the calculation gives 0.0 μB/f.u. The formation energy from the elements comes out at 22 meV/atom. For the total energy, the calculation gives -50.94 eV/cell. The volume comes out at 360 Å³/cell.